Zr2ScPt: optimized geometry, PBE-GGA.

## Properties
energy above the most stable polymorph in this dataset	119	meV/atom
total magnetization	0.000	μB/atom
energy relative to the elements	-0.460	eV per atom
SG	P4/mmm (123)
DFT total energy	-7.8271	eV/atom
crystal system	tetragonal

Unit cell a=3.406 b=3.406 c=7.203 alpha=90.00 beta=90.00 gamma=90.00
Atoms (fractional coordinates):
Zr1 0.000 0.000 0.224
Zr2 0.000 0.000 0.776
Sc1 0.500 0.500 0.500
Pt1 0.500 0.500 0.000